DFT (PBE-GGA) results for a relaxed structure of InPd.

Calculated values
Total magnetic moment in Bohr magnetons per cell: 0.0
Formation energy in kJ/mol of formula units: -77
Symmetry: No. 139
DOS(E_F) in states/eV per cell: 7.9
VASP energy in eV per atom: -4.364

Geometry as extended XYZ:
```
16
Lattice="8.3450 0.0000 0.0000 0.0000 8.3450 0.0000 0.0000 0.0000 4.5614" Properties=species:S:1:pos:R:3 pbc="T T T"
Pd 6.9153 6.9153 0.0000
Pd 1.4297 6.9153 0.0000
Pd 5.6022 2.7428 2.2807
Pd 6.9153 1.4297 0.0000
Pd 5.6022 5.6022 2.2807
Pd 2.7428 5.6022 2.2807
Pd 2.7428 2.7428 2.2807
Pd 1.4297 1.4297 0.0000
In 0.0000 2.2972 2.2807
In 6.0478 0.0000 2.2807
In 4.1725 6.4697 0.0000
In 1.8753 4.1725 0.0000
In 2.2972 0.0000 2.2807
In 6.4697 4.1725 0.0000
In 4.1725 1.8753 0.0000
In 0.0000 6.0478 2.2807
```

DFT (PBE-GGA) results for a relaxed structure of Sm5InOs2.

Calculated values
Total magnetic moment in Bohr magnetons per cell: 0.0
Formation energy in kJ/mol of formula units: -189
Symmetry: No. 140
DOS(E_F) in states/eV per cell: 13.4
VASP energy in eV per atom: -6.344

Geometry as extended XYZ:
```
16
Lattice="7.1614 0.0000 -3.3805 -1.5958 6.9813 -3.3805 -0.1744 -0.2188 8.9062" Properties=species:S:1:pos:R:3 pbc="T T T"
Sm 0.7817 5.4720 -1.3218
Sm 2.5299 4.7812 2.3816
Sm 2.8613 1.9814 -0.2366
Sm 6.1564 3.2309 -2.5319
Sm 4.0767 6.7215 -3.6171
Sm -0.7652 3.5317 4.6769
Sm 4.6095 1.2905 3.4669
Sm 2.7828 3.4907 -3.3805
Sm 0.0000 0.0000 0.0000
Sm 1.3144 0.0410 5.7622
In 4.0870 5.1266 -0.6177
In 1.3042 1.6359 2.7628
Os 1.2080 6.0068 -4.1271
Os 5.1411 4.4651 -5.0708
Os 4.3575 0.9745 -2.6340
Os 0.4244 2.5162 -1.6903
```

DFT (PBE-GGA) results for a relaxed structure of SiC3.

Calculated values
Energy above the lowest structure with this stoichiometry in eV per atom: 1.515
Total magnetic moment in Bohr magnetons per cell: 0.0
Symmetry: No. 166
ΔE_f (raw) in eV/atom: 2.014
DOS(E_F) in states/eV per cell: 1.8
VASP energy in eV per atom: -6.260

Geometry as extended XYZ:
```
4
Lattice="4.8477 0.0066 0.0040 4.0846 2.6109 0.0040 4.0846 1.1969 2.3204" Properties=species:S:1:pos:R:3 pbc="T T T"
C 3.1398 0.9201 0.5616
C 6.5084 1.9072 1.1642
C 9.8770 2.8943 1.7667
Si 0.0000 0.0000 0.0000
```

DFT (PBE-GGA) results for a relaxed structure of ZrSc2Al.

Calculated values
Total magnetic moment in Bohr magnetons per cell: 0.0
Formation energy in kJ/mol of formula units: -88
Symmetry: No. 119
DOS(E_F) in states/eV per cell: 5.0
VASP energy in eV per atom: -6.467

Geometry as extended XYZ:
```
4
Lattice="-4.1499 3.3978 0.9832 -2.9559 -1.6488 4.2752 5.3448 0.7718 -0.7553" Properties=species:S:1:pos:R:3 pbc="T T T"
Sc -0.5820 -0.0012 3.0745
Sc 0.0000 0.0000 0.0000
Zr -3.5529 0.8745 2.6292
Al -1.1790 2.5221 1.4285
```

DFT (PBE-GGA) results for a relaxed structure of Al2O.

Calculated values
Energy above the lowest structure with this stoichiometry in eV per atom: 0.083
Total magnetic moment in Bohr magnetons per cell: 0.0
Symmetry: No. 8
ΔE_f (raw) in eV/atom: -1.368
DOS(E_F) in states/eV per cell: 0.4
VASP energy in eV per atom: -5.516

Geometry as extended XYZ:
```
6
Lattice="-0.0095 -4.9657 2.7569 1.9006 -1.0185 -1.8279 3.5318 2.7888 2.1184" Properties=species:S:1:pos:R:3 pbc="T T T"
O 2.4213 0.3839 0.1179
O 3.2370 2.2876 2.0910
Al 1.8545 -2.8873 3.5369
Al 0.1401 -2.0405 1.2826
Al 1.0388 -4.7910 1.5638
Al 2.8563 -1.1553 1.4278
```

DFT (PBE-GGA) results for a relaxed structure of Ac2TeIr.

Calculated values
Energy above the lowest structure with this stoichiometry in eV per atom: 0.166
Total magnetic moment in Bohr magnetons per cell: 0.0
Symmetry: No. 10
ΔE_f (raw) in eV/atom: -0.935
DOS(E_F) in states/eV per cell: 3.5
VASP energy in eV per atom: -5.990

Geometry as extended XYZ:
```
8
Lattice="4.4840 0.0000 0.0000 0.0000 8.5641 1.0981 0.0000 0.9765 7.3350" Properties=species:S:1:pos:R:3 pbc="T T T"
Ir 2.2420 4.8831 5.5526
Ir 2.2420 4.6575 2.8805
Te 2.2420 0.4883 3.6675
Te 0.0000 0.0000 0.0000
Ac 0.0000 2.9405 4.5412
Ac 0.0000 6.6001 3.8919
Ac 2.2420 2.4387 0.8036
Ac 2.2420 7.1019 7.6296
```

DFT (PBE-GGA) results for a relaxed structure of Zr2Nb2V.

Calculated values
Energy above the lowest structure with this stoichiometry in eV per atom: 0.000
Total magnetic moment in Bohr magnetons per cell: 0.0
Formation energy in kJ/mol of formula units: 134
Symmetry: No. 127
DOS(E_F) in states/eV per cell: 11.5
VASP energy in eV per atom: -8.992

Geometry as extended XYZ:
```
10
Lattice="-6.2869 1.3781 0.7336 -1.5060 -6.1556 -1.3428 0.3074 -1.1009 4.7023" Properties=species:S:1:pos:R:3 pbc="T T T"
Zr -5.2905 -4.7646 1.7204
Zr -5.5907 -1.4559 2.5147
Zr -2.1950 -1.1138 2.3728
Zr -1.8948 -4.4225 1.5785
Nb -3.4463 -4.7289 -0.8819
Nb -6.3018 -2.8629 -0.2583
Nb -4.3466 -0.0486 0.2728
Nb -1.4911 -1.9146 -0.3508
V -3.8965 -2.3888 -0.3046
V 0.0000 0.0000 0.0000
```

DFT (PBE-GGA) results for a relaxed structure of Ag2BiPtPb.

Calculated values
Total magnetic moment in Bohr magnetons per cell: 0.5
Formation energy in kJ/mol of formula units: 485
Symmetry: No. 123
DOS(E_F) in states/eV per cell: 5.3
VASP energy in eV per atom: -2.862

Geometry as extended XYZ:
```
5
Lattice="-3.7115 1.2937 -3.3929 -0.7429 -5.9226 -1.4456 -3.5765 -0.4632 3.7356" Properties=species:S:1:pos:R:3 pbc="T T T"
Bi 0.0000 0.0000 0.0000
Pt -4.0154 -2.5460 -0.5515
Ag -1.8557 0.6469 -1.6965
Ag -1.7882 -0.2316 1.8678
Pb -0.3715 -2.9613 -0.7228
```

DFT (PBE-GGA) results for a relaxed structure of NaPm2Sm.

Calculated values
Energy above the lowest structure with this stoichiometry in eV per atom: 0.104
Total magnetic moment in Bohr magnetons per cell: 0.0
Formation energy in kJ/mol of formula units: 81
Symmetry: No. 123
DOS(E_F) in states/eV per cell: 5.5
VASP energy in eV per atom: -3.676

Geometry as extended XYZ:
```
4
Lattice="3.7381 0.0000 0.0000 0.0000 6.0034 0.0000 0.0000 0.0000 6.0034" Properties=species:S:1:pos:R:3 pbc="T T T"
Pm 0.0000 3.0017 0.0000
Pm 0.0000 0.0000 3.0017
Sm 1.8691 0.0000 0.0000
Na 1.8691 3.0017 3.0017
```

DFT (PBE-GGA) results for a relaxed structure of Sc3BeMo.

Calculated values
Energy above the lowest structure with this stoichiometry in eV per atom: 0.143
Total magnetic moment in Bohr magnetons per cell: 0.0
Formation energy in kJ/mol of formula units: 406
Symmetry: No. 221
DOS(E_F) in states/eV per cell: 6.9
VASP energy in eV per atom: -5.868

Geometry as extended XYZ:
```
5
Lattice="-0.6902 4.0002 2.8975 -0.9379 -2.9786 3.8887 4.8494 -0.0067 1.1645" Properties=species:S:1:pos:R:3 pbc="T T T"
Be 1.6107 0.5075 3.9753
Sc -0.4689 -1.4893 1.9443
Sc -0.3451 2.0001 1.4487
Sc 2.4247 -0.0033 0.5822
Mo 0.0000 0.0000 0.0000
```

DFT (PBE-GGA) results for a relaxed structure of Tl2PtBr.

Calculated values
Energy above the lowest structure with this stoichiometry in eV per atom: 0.023
Total magnetic moment in Bohr magnetons per cell: 0.0
Symmetry: No. 8
ΔE_f (raw) in eV/atom: -0.208
DOS(E_F) in states/eV per cell: 0.8
VASP energy in eV per atom: -3.319

Geometry as extended XYZ:
```
4
Lattice="8.0624 0.0121 -0.0919 7.2291 3.5696 -0.0919 0.0501 0.0117 4.0207" Properties=species:S:1:pos:R:3 pbc="T T T"
Tl 11.3321 2.6543 2.3794
Tl 14.3398 3.3588 0.3276
Br 8.4314 1.9749 2.4104
Pt 4.2007 0.9839 0.4540
```

DFT (PBE-GGA) results for a relaxed structure of Na3In8.

Calculated values
Total magnetic moment in Bohr magnetons per cell: 0.0
Formation energy in kJ/mol of formula units: -83
Symmetry: No. 12
DOS(E_F) in states/eV per cell: 6.1
VASP energy in eV per atom: -2.430

Geometry as extended XYZ:
```
11
Lattice="-0.2549 -3.8733 -2.6776 1.0025 -1.0341 5.5529 -12.1956 1.4610 -0.9523" Properties=species:S:1:pos:R:3 pbc="T T T"
Na -3.7862 -3.8716 1.8085
Na -7.6619 0.4252 0.1144
Na 0.0000 0.0000 0.0000
In -8.4874 -2.7347 0.6115
In -5.5197 -2.1175 -0.5639
In -2.9606 -0.7117 1.3114
In -0.8045 -3.1749 0.5169
In -5.9284 -1.3290 2.4868
In -1.4217 -2.4755 3.7163
In -10.0263 -0.9709 -1.7934
In -10.6435 -0.2715 1.4061
```

Question: Number 12 is which compound?
Answer: Na3In8

Question: What is the total magnetic moment in the fourth record?
Answer: 0.0 Bohr magnetons per cell

Question: Among the records above, which one has the highest total magnetic moment?
Answer: Ag2BiPtPb